VASP calculation (PBE-GGA) on CeGdCdSb after structural relaxation.

Unit cell a=5.3819 b=5.3819 c=5.3819 alpha=60.00 beta=60.00 gamma=60.00
Fractional coordinates of all 4 atoms:
Ce 0.0000 0.0000 0.0000
Gd 0.5000 0.5000 0.5000
Cd 0.2500 0.2500 0.2500
Sb 0.7500 0.7500 0.7500

* SG: F-43m (216)
* crystal system: cubic
* energy relative to the elements, uncorrected: -518 meV per atom
* uncorrected energy: -6.781 eV per atom
* spin magnetization: 6.739 Bohr magnetons per cell
* DOS(E_F): 9.4 states/eV per cell